No. 1
First-principles (PBE-GGA) data for a geometry-optimized AcSnSbSe structure, as listed in Alexandria.

Results
uncorrected formation energy	-0.915	eV per atom

a = 5.457 Å, b = 5.457 Å, c = 8.481 Å
α = 90.00°, β = 90.00°, γ = 90.00°
Fractional positions:
1 Ac 0.250 0.250 0.171
2 Ac 0.750 0.750 0.829
3 Sn 0.250 0.750 0.500
4 Sn 0.750 0.250 0.500
5 Sb 0.250 0.250 0.659
6 Sb 0.750 0.750 0.341
7 Se 0.250 0.750 0.000
8 Se 0.750 0.250 0.000

No. 2
First-principles (PBE-GGA) data for a geometry-optimized Sc2GeIrAu structure, as listed in Alexandria.

Results
E_form	-0.293	eV/atom

a = 5.078 Å, b = 5.078 Å, c = 4.603 Å
α = 90.00°, β = 90.00°, γ = 90.00°
Fractional positions:
1 Sc 0.000 0.500 0.000
2 Sc 0.500 0.000 0.000
3 Ge 0.000 0.000 0.500
4 Ir 0.000 0.000 0.000
5 Au 0.500 0.500 0.500

No. 3
First-principles (PBE-GGA) data for a geometry-optimized CePuTl structure, as listed in Alexandria.

Results
E_form	-0.050	eV/atom
polymorph energy (0 for the lowest one)	24	meV/atom

a = 5.169 Å, b = 5.169 Å, c = 3.413 Å
α = 90.00°, β = 90.00°, γ = 120.00°
Fractional positions:
1 Ce 0.000 0.000 0.000
2 Pu 0.333 0.667 0.000
3 Tl 0.667 0.333 0.500

No. 4
First-principles (PBE-GGA) data for a geometry-optimized AlHPd3 structure, as listed in Alexandria.

Results
polymorph energy (0 for the lowest one)	1	meV/atom

a = 5.598 Å, b = 5.598 Å, c = 5.598 Å
α = 60.19°, β = 60.19°, γ = 60.19°
Fractional positions:
1 Al 0.250 0.250 0.250
2 Al 0.750 0.750 0.750
3 H 0.000 0.000 0.000
4 H 0.500 0.500 0.500
5 Pd 0.214 0.750 0.286
6 Pd 0.250 0.714 0.786
7 Pd 0.286 0.214 0.750
8 Pd 0.714 0.786 0.250
9 Pd 0.750 0.286 0.214
10 Pd 0.786 0.250 0.714

No. 5
First-principles (PBE-GGA) data for a geometry-optimized CaMgTc2 structure, as listed in Alexandria.

Results
E_form	0.311	eV/atom

a = 3.036 Å, b = 4.231 Å, c = 6.374 Å
α = 90.00°, β = 103.36°, γ = 90.00°
Fractional positions:
1 Ca 0.000 0.000 0.000
2 Mg 0.685 0.500 0.331
3 Tc 0.302 0.500 0.722
4 Tc 0.344 0.000 0.548

No. 6
First-principles (PBE-GGA) data for a geometry-optimized Ca2LaNi structure, as listed in Alexandria.

Results
E_form	0.357	eV/atom
polymorph energy (0 for the lowest one)	477	meV/atom

a = 6.655 Å, b = 6.655 Å, c = 3.682 Å
α = 104.16°, β = 104.16°, γ = 122.75°
Fractional positions:
1 Ca 0.000 0.500 0.000
2 Ca 0.500 0.000 0.000
3 La 0.000 0.000 0.500
4 Ni 0.500 0.500 0.500

No. 7
First-principles (PBE-GGA) data for a geometry-optimized Na2TlIO structure, as listed in Alexandria.

Results
uncorrected formation energy	-0.879	eV per atom
polymorph energy (0 for the lowest one)	66	meV/atom

a = 8.664 Å, b = 8.664 Å, c = 7.728 Å
α = 90.00°, β = 90.00°, γ = 152.74°
Fractional positions:
1 Na 0.129 0.871 0.517
2 Na 0.129 0.871 0.983
3 Na 0.871 0.129 0.017
4 Na 0.871 0.129 0.483
5 Tl 0.472 0.528 0.750
6 Tl 0.528 0.472 0.250
7 I 0.276 0.724 0.250
8 I 0.724 0.276 0.750
9 O 0.000 0.000 0.000
10 O 0.000 0.000 0.500

No. 8
First-principles (PBE-GGA) data for a geometry-optimized TlFePb4 structure, as listed in Alexandria.

Results
E_form	0.608	eV/atom

a = 6.457 Å, b = 6.457 Å, c = 6.457 Å
α = 60.00°, β = 60.00°, γ = 60.00°
Fractional positions:
1 Tl 0.000 0.000 0.000
2 Fe 0.750 0.750 0.750
3 Pb 0.375 0.375 0.375
4 Pb 0.375 0.375 0.874
5 Pb 0.375 0.874 0.375
6 Pb 0.874 0.375 0.375

No. 9
First-principles (PBE-GGA) data for a geometry-optimized CaTbMg2Tl4 structure, as listed in Alexandria.

Results
E_form	-0.255	eV/atom

a = 9.266 Å, b = 9.266 Å, c = 9.266 Å
α = 32.97°, β = 32.97°, γ = 32.97°
Fractional positions:
1 Ca 0.000 0.000 0.000
2 Tb 0.500 0.500 0.500
3 Mg 0.249 0.249 0.249
4 Mg 0.751 0.751 0.751
5 Tl 0.124 0.124 0.124
6 Tl 0.376 0.376 0.376
7 Tl 0.624 0.624 0.624
8 Tl 0.876 0.876 0.876

No. 10
First-principles (PBE-GGA) data for a geometry-optimized YZrNi structure, as listed in Alexandria.

Results
E_form	-0.057	eV/atom
polymorph energy (0 for the lowest one)	143	meV/atom

a = 4.266 Å, b = 4.266 Å, c = 4.358 Å
α = 90.00°, β = 90.00°, γ = 120.00°
Fractional positions:
1 Y 0.000 0.000 0.000
2 Zr 0.667 0.333 0.499
3 Ni 0.333 0.667 0.516

No. 11
First-principles (PBE-GGA) data for a geometry-optimized TbMg15Cd4 structure, as listed in Alexandria.

Results
E_form	-0.069	eV/atom

a = 4.604 Å, b = 4.604 Å, c = 21.466 Å
α = 90.00°, β = 90.00°, γ = 90.00°
Fractional positions:
1 Tb 0.000 0.000 0.000
2 Mg 0.000 0.500 0.108
3 Mg 0.000 0.500 0.303
4 Mg 0.000 0.500 0.500
5 Mg 0.000 0.500 0.697
6 Mg 0.000 0.500 0.892
7 Mg 0.500 0.000 0.108
8 Mg 0.500 0.000 0.303
9 Mg 0.500 0.000 0.500
10 Mg 0.500 0.000 0.697
11 Mg 0.500 0.000 0.892
12 Mg 0.500 0.500 0.000
13 Mg 0.500 0.500 0.208
14 Mg 0.500 0.500 0.401
15 Mg 0.500 0.500 0.599
16 Mg 0.500 0.500 0.792
17 Cd 0.000 0.000 0.203
18 Cd 0.000 0.000 0.402
19 Cd 0.000 0.000 0.598
20 Cd 0.000 0.000 0.797

No. 12
First-principles (PBE-GGA) data for a geometry-optimized Rb2CdTc2 structure, as listed in Alexandria.

Results
E_form	1.144	eV/atom
polymorph energy (0 for the lowest one)	449	meV/atom

a = 10.661 Å, b = 10.661 Å, c = 2.871 Å
α = 90.00°, β = 90.00°, γ = 90.00°
Fractional positions:
1 Rb 0.210 0.290 0.000
2 Rb 0.290 0.790 0.000
3 Rb 0.710 0.210 0.000
4 Rb 0.790 0.710 0.000
5 Cd 0.000 0.000 0.000
6 Cd 0.500 0.500 0.000
7 Tc 0.071 0.571 0.500
8 Tc 0.429 0.071 0.500
9 Tc 0.571 0.929 0.500
10 Tc 0.929 0.429 0.500

No. 13
First-principles (PBE-GGA) data for a geometry-optimized BeReAs2 structure, as listed in Alexandria.

Results
E_form	0.361	eV/atom

a = 2.905 Å, b = 2.905 Å, c = 8.788 Å
α = 90.00°, β = 90.00°, γ = 110.39°
Fractional positions:
1 Be 0.000 0.000 0.000
2 Re 0.500 0.500 0.193
3 As 0.000 0.000 0.405
4 As 0.500 0.500 0.825

No. 14
First-principles (PBE-GGA) data for a geometry-optimized Ca2SbAs structure, as listed in Alexandria.

Results
uncorrected formation energy	-0.778	eV per atom

a = 6.354 Å, b = 6.354 Å, c = 6.354 Å
α = 139.77°, β = 139.77°, γ = 58.20°
Fractional positions:
1 Ca 0.000 0.000 0.000
2 Ca 0.750 0.250 0.500
3 Sb 0.250 0.750 0.500
4 As 0.500 0.500 0.000

No. 15
First-principles (PBE-GGA) data for a geometry-optimized CoBPt3 structure, as listed in Alexandria.

Results
E_form	1.774	eV/atom
polymorph energy (0 for the lowest one)	1633	meV/atom

a = 4.558 Å, b = 4.558 Å, c = 4.558 Å
α = 90.00°, β = 90.00°, γ = 90.00°
Fractional positions:
1 Co 0.000 0.000 0.000
2 B 0.500 0.500 0.500
3 Pt 0.000 0.000 0.500
4 Pt 0.000 0.500 0.000
5 Pt 0.500 0.000 0.000

No. 16
First-principles (PBE-GGA) data for a geometry-optimized Sr2ZrP2 structure, as listed in Alexandria.

Results
E_form	-0.828	eV/atom
polymorph energy (0 for the lowest one)	0	meV/atom

a = 7.551 Å, b = 7.551 Å, c = 4.373 Å
α = 90.00°, β = 90.00°, γ = 90.00°
Fractional positions:
1 Sr 0.146 0.354 0.000
2 Sr 0.354 0.854 0.000
3 Sr 0.646 0.146 0.000
4 Sr 0.854 0.646 0.000
5 Zr 0.000 0.000 0.500
6 Zr 0.500 0.500 0.500
7 P 0.170 0.670 0.500
8 P 0.330 0.170 0.500
9 P 0.670 0.830 0.500
10 P 0.830 0.330 0.500

No. 17
First-principles (PBE-GGA) data for a geometry-optimized Li4ZnFe structure, as listed in Alexandria.

Results
E_form	0.302	eV/atom

a = 4.942 Å, b = 4.942 Å, c = 4.942 Å
α = 60.00°, β = 60.00°, γ = 60.00°
Fractional positions:
1 Li 0.125 0.125 0.125
2 Li 0.125 0.125 0.624
3 Li 0.125 0.624 0.125
4 Li 0.624 0.125 0.125
5 Zn 0.750 0.750 0.750
6 Fe 0.500 0.500 0.500

No. 18
First-principles (PBE-GGA) data for a geometry-optimized TbY2Ti structure, as listed in Alexandria.

Results
E_form	0.431	eV/atom
polymorph energy (0 for the lowest one)	257	meV/atom

a = 11.914 Å, b = 11.914 Å, c = 11.914 Å
α = 16.27°, β = 16.27°, γ = 16.27°
Fractional positions:
1 Tb 0.000 0.000 0.000
2 Y 0.416 0.416 0.416
3 Y 0.584 0.584 0.584
4 Ti 0.500 0.500 0.500

No. 19
First-principles (PBE-GGA) data for a geometry-optimized Tl3Cu2I6 structure, as listed in Alexandria.

Results
uncorrected formation energy	-0.367	eV per atom

a = 14.960 Å, b = 14.960 Å, c = 14.960 Å
α = 159.45°, β = 159.45°, γ = 29.23°
Fractional positions:
1 Tl 0.000 0.000 0.000
2 Tl 0.179 0.179 0.000
3 Tl 0.821 0.821 0.000
4 Cu 0.393 0.393 0.000
5 Cu 0.607 0.607 0.000
6 I 0.084 0.584 0.500
7 I 0.300 0.300 0.000
8 I 0.416 0.916 0.500
9 I 0.584 0.084 0.500
10 I 0.700 0.700 0.000
11 I 0.916 0.416 0.500

No. 20
First-principles (PBE-GGA) data for a geometry-optimized GaGeHAu2 structure, as listed in Alexandria.

Results
final energy	-2.797	eV/atom

a = 4.917 Å, b = 4.917 Å, c = 5.231 Å
α = 90.00°, β = 90.00°, γ = 90.00°
Fractional positions:
1 Ga 0.000 0.000 0.000
2 Ge 0.000 0.000 0.500
3 H 0.500 0.500 0.000
4 Au 0.000 0.500 0.500
5 Au 0.500 0.000 0.500